{
  "formula": "Y2InHg",
  "functional": "PBE-GGA",
  "state": "optimized geometry",
  "lattice": [[1.8098, 1.0449, 10.1416], [-1.8098, 1.0449, 10.1416], [0.0000, -2.0898, 10.1416]],
  "species": ["Y", "Y", "In", "Hg"],
  "fractional_positions": [[0.0000, 0.0000, 0.0000], [0.2400, 0.2400, 0.2400], [0.4877, 0.4877, 0.4877], [0.7452, 0.7452, 0.7452]],
  "dos_ef_per_ev_atom": 0.796,
  "delta_e_f_ev_per_atom": -0.165,
  "total_energy_ev_per_atom": -4.157,
  "sg": "R3m (160)"
}


{
  "formula": "YIn2Hg2",
  "functional": "PBE-GGA",
  "state": "optimized geometry",
  "lattice": [[5.1152, 0.0000, 0.0000], [-2.5576, 4.4299, 0.0000], [0.0000, 0.0000, 12.4957]],
  "species": ["Y", "Y", "In", "In", "In", "In", "Hg", "Hg", "Hg", "Hg"],
  "fractional_positions": [[0.0000, 0.0000, 0.2500], [0.0000, 0.0000, 0.7500], [0.0000, 0.0000, 0.0000], [0.0000, 0.0000, 0.5000], [0.3333, 0.6667, 0.2500], [0.6667, 0.3333, 0.7500], [0.3333, 0.6667, 0.6186], [0.3333, 0.6667, 0.8814], [0.6667, 0.3333, 0.1186], [0.6667, 0.3333, 0.3814]],
  "relative_energy_ev_per_atom": 0.128,
  "dos_ef_per_ev_atom": 0.807,
  "delta_e_f_ev_per_atom": -0.043,
  "total_energy_ev_per_atom": -2.552,
  "sg": "P6_3/mmc (194)"
}


{
  "formula": "YIn3Hg12",
  "functional": "PBE-GGA",
  "state": "optimized geometry",
  "lattice": [[4.5481, 0.0000, 0.0000], [0.0000, 4.5481, 0.0000], [0.0000, 0.0000, 20.2275]],
  "species": ["Y", "In", "In", "In", "Hg", "Hg", "Hg", "Hg", "Hg", "Hg", "Hg", "Hg", "Hg", "Hg", "Hg", "Hg"],
  "fractional_positions": [[0.0000, 0.0000, 0.0000], [0.0000, 0.0000, 0.2437], [0.0000, 0.0000, 0.5000], [0.0000, 0.0000, 0.7563], [0.0000, 0.5000, 0.1182], [0.0000, 0.5000, 0.3697], [0.0000, 0.5000, 0.6303], [0.0000, 0.5000, 0.8818], [0.5000, 0.0000, 0.1182], [0.5000, 0.0000, 0.3697], [0.5000, 0.0000, 0.6303], [0.5000, 0.0000, 0.8818], [0.5000, 0.5000, 0.0000], [0.5000, 0.5000, 0.2424], [0.5000, 0.5000, 0.5000], [0.5000, 0.5000, 0.7576]],
  "dos_ef_per_ev_atom": 0.344,
  "delta_e_f_ev_per_atom": -0.076,
  "total_energy_ev_per_atom": -1.219,
  "sg": "P4/mmm (123)"
}


{
  "formula": "Y2InHg4",
  "functional": "PBE-GGA",
  "state": "optimized geometry",
  "lattice": [[2.5579, 1.4768, 8.1051], [-2.5579, 1.4768, 8.1051], [0.0000, -2.9536, 8.1051]],
  "species": ["Y", "Y", "In", "Hg", "Hg", "Hg", "Hg"],
  "fractional_positions": [[0.2429, 0.2429, 0.2429], [0.7571, 0.7571, 0.7571], [0.5000, 0.5000, 0.5000], [0.1102, 0.1102, 0.1102], [0.3682, 0.3682, 0.3682], [0.6318, 0.6318, 0.6318], [0.8898, 0.8898, 0.8898]],
  "dos_ef_per_ev_atom": 0.589,
  "delta_e_f_ev_per_atom": -0.304,
  "total_energy_ev_per_atom": -2.715,
  "sg": "R-3m (166)"
}


{
  "formula": "Y3In2Hg2",
  "functional": "PBE-GGA",
  "state": "optimized geometry",
  "lattice": [[2.2758, -11.4465, 0.0000], [2.2758, 11.4465, 0.0000], [0.0000, 0.0000, 3.4723]],
  "species": ["Y", "Y", "Y", "In", "In", "Hg", "Hg"],
  "fractional_positions": [[0.0000, 0.0000, 0.0000], [0.1511, 0.8489, 0.0000], [0.8489, 0.1511, 0.0000], [0.2873, 0.7127, 0.5000], [0.7127, 0.2873, 0.5000], [0.4270, 0.5730, 0.5000], [0.5730, 0.4270, 0.5000]],
  "dos_ef_per_ev_atom": 0.812,
  "delta_e_f_ev_per_atom": -0.415,
  "total_energy_ev_per_atom": -4.054,
  "sg": "Cmmm (65)"
}


{
  "formula": "Y2In3Hg4",
  "functional": "PBE-GGA",
  "state": "optimized geometry",
  "lattice": [[3.1630, -8.3107, 0.0000], [3.1630, 8.3107, 0.0000], [0.0000, 0.0000, 8.6585]],
  "species": ["Y", "Y", "Y", "Y", "In", "In", "In", "In", "In", "In", "Hg", "Hg", "Hg", "Hg", "Hg", "Hg", "Hg", "Hg"],
  "fractional_positions": [[0.1110, 0.8890, 0.9200], [0.3890, 0.6110, 0.4200], [0.6110, 0.3890, 0.5800], [0.8890, 0.1110, 0.0800], [0.0000, 0.0000, 0.5000], [0.0310, 0.4690, 0.7500], [0.4690, 0.0310, 0.2500], [0.5000, 0.5000, 0.0000], [0.5310, 0.9690, 0.7500], [0.9690, 0.5310, 0.2500], [0.1740, 0.8260, 0.5497], [0.2050, 0.2950, 0.7500], [0.2950, 0.2050, 0.2500], [0.3260, 0.6740, 0.0497], [0.6740, 0.3260, 0.9503], [0.7050, 0.7950, 0.7500], [0.7950, 0.7050, 0.2500], [0.8260, 0.1740, 0.4503]],
  "relative_energy_ev_per_atom": 0.087,
  "dos_ef_per_ev_atom": 0.593,
  "delta_e_f_ev_per_atom": -0.212,
  "total_energy_ev_per_atom": -2.695,
  "sg": "Cmce (64)"
}